1.
6
Lattice="4.139 0.000 0.000 0.000 4.139 0.000 0.000 0.000 6.852" Properties=species:S:1:pos:R:3 comment="LiTiIn (PBE, optimized geometry)" volume_a3_per_atom=19.6 polymorph_energy_mev_per_atom=472 e_form_ev_per_atom=0.30 total_magnetization_mub_per_fu=1.9 pbc="T T T"
Li 1.035 1.035 1.623
Li 3.105 3.105 5.229
Ti 1.035 1.035 5.782
Ti 3.105 3.105 1.070
In 1.035 3.105 3.426
In 3.105 1.035 3.426

=====

2.
12
Lattice="8.534 0.000 0.000 0.000 3.498 0.000 -3.942 0.000 8.443" Properties=species:S:1:pos:R:3 comment="KNbFeS3 (PBE, optimized geometry)" raw_formation_energy_ev_per_atom=-0.994 volume_a3_per_atom=21.0 total_magnetization_mub_per_fu=2.0 pbc="T T T"
K 1.021 0.874 2.097
K 3.570 2.623 6.347
Nb -0.686 2.623 6.973
Nb 5.277 0.874 1.470
Fe -1.660 0.874 5.122
Fe 6.252 2.623 3.322
S -2.437 0.874 7.251
S -0.262 2.623 4.525
S 3.443 2.623 1.144
S 1.149 0.874 7.299
S 4.853 0.874 3.918
S 7.029 2.623 1.192

=====

3.
4
Lattice="0.000 3.208 3.208 3.208 0.000 3.208 3.208 3.208 0.000" Properties=species:S:1:pos:R:3 comment="NbCdCuPt (PBE, optimized geometry)" volume_a3_per_atom=16.5 e_form_ev_per_atom=-0.18 total_magnetization_mub_per_fu=0.0 pbc="T T T"
Nb 0.000 0.000 0.000
Cd 3.208 3.208 3.208
Cu 1.604 1.604 1.604
Pt 4.812 4.812 4.812